## a
DFT (PBE-GGA) results for crystalline AcHO2 at its relaxed geometry.

Results
M_tot, μB/f.u.: 0.00

CIF file:
```
data_AcHO2
_chemical_formula_sum 'Ac4 H4 O8'
_cell_length_a 11.683
_cell_length_b 4.027
_cell_length_c 5.435
_cell_angle_alpha 90.00
_cell_angle_beta 90.00
_cell_angle_gamma 90.00
_symmetry_space_group_name_H-M 'P n m a'
_symmetry_Int_Tables_number 62
loop_
_symmetry_equiv_pos_as_xyz
'x,y,z'
'-x,-y,-z'
'-x+1/2,-y,z+1/2'
'x+1/2,y,-z+1/2'
'x+1/2,-y+1/2,-z+1/2'
'-x+1/2,y+1/2,z+1/2'
'-x,y+1/2,-z'
'x,-y+1/2,z'
loop_
_atom_site_label
_atom_site_type_symbol
_atom_site_fract_x
_atom_site_fract_y
_atom_site_fract_z
_atom_site_occupancy
Ac1 Ac 0.144 0.250 0.150 1
H1 H 0.110 0.750 0.679 1
O1 O 0.081 0.750 0.854 1
O2 O 0.185 0.750 0.395 1
```

## b
DFT (PBE-GGA) results for crystalline AcHO2 at its relaxed geometry.

Results
M_tot, μB/f.u.: 0.00

CIF file:
```
data_AcHO2
_chemical_formula_sum 'Ac3 H3 O6'
_cell_length_a 3.9838
_cell_length_b 3.9838
_cell_length_c 13.9947
_cell_angle_alpha 90.00
_cell_angle_beta 90.00
_cell_angle_gamma 120.00
_symmetry_space_group_name_H-M 'R -3 m'
_symmetry_Int_Tables_number 166
_symmetry_space_group_name_Hall '-R 3 2"'
loop_
_atom_site_label
_atom_site_type_symbol
_atom_site_fract_x
_atom_site_fract_y
_atom_site_fract_z
_atom_site_occupancy
Ac1 Ac 0.0000 0.0000 0.0000 1
H1 H 0.0000 0.0000 0.5000 1
O1 O 0.0000 0.0000 0.4119 1
```

## c
DFT (PBE-GGA) results for crystalline AcHO2 at its relaxed geometry.

Results
M_tot, μB/f.u.: 0.00

CIF file:
```
data_AcHO2
_chemical_formula_sum 'Ac2 H2 O4'
_cell_length_a 4.590
_cell_length_b 4.114
_cell_length_c 6.708
_cell_angle_alpha 90.00
_cell_angle_beta 106.79
_cell_angle_gamma 90.00
_symmetry_space_group_name_H-M 'P 1 21/m 1'
_symmetry_Int_Tables_number 11
loop_
_symmetry_equiv_pos_as_xyz
'x,y,z'
'-x,-y,-z'
'-x,y+1/2,-z'
'x,-y+1/2,z'
loop_
_atom_site_label
_atom_site_type_symbol
_atom_site_fract_x
_atom_site_fract_y
_atom_site_fract_z
_atom_site_occupancy
Ac1 Ac 0.171 0.250 0.306 1
H1 H 0.471 0.750 0.064 1
O1 O 0.256 0.750 0.059 1
O2 O 0.258 0.750 0.534 1
```

The structure with the least stability is b.

## a
DFT (PBE-GGA) results for crystalline AcPH2 at its relaxed geometry.

Results
M_tot, μB/f.u.: 0.00

CIF file:
```
data_AcPH2
_chemical_formula_sum 'Ac4 P4 H8'
_cell_length_a 6.194
_cell_length_b 6.194
_cell_length_c 6.194
_cell_angle_alpha 90.00
_cell_angle_beta 90.00
_cell_angle_gamma 90.00
_symmetry_space_group_name_H-M 'F m -3 m'
_symmetry_Int_Tables_number 225
_symmetry_space_group_name_Hall '-F 4 2 3'
loop_
_atom_site_label
_atom_site_type_symbol
_atom_site_fract_x
_atom_site_fract_y
_atom_site_fract_z
_atom_site_occupancy
Ac1 Ac 0.000 0.000 0.000 1
P1 P 0.000 0.000 0.500 1
H1 H 0.250 0.250 0.250 1
```

## b
DFT (PBE-GGA) results for crystalline AcPH2 at its relaxed geometry.

Results
M_tot, μB/f.u.: 0.00

CIF file:
```
data_AcPH2
_chemical_formula_sum 'Ac3 P3 H6'
_cell_length_a 4.4556
_cell_length_b 4.4556
_cell_length_c 10.9690
_cell_angle_alpha 90.00
_cell_angle_beta 90.00
_cell_angle_gamma 120.00
_symmetry_space_group_name_H-M 'R -3 m'
_symmetry_Int_Tables_number 166
_symmetry_space_group_name_Hall '-R 3 2"'
loop_
_atom_site_label
_atom_site_type_symbol
_atom_site_fract_x
_atom_site_fract_y
_atom_site_fract_z
_atom_site_occupancy
Ac1 Ac 0.0000 0.0000 0.0000 1
P1 P 0.0000 0.0000 0.5000 1
H1 H 0.0000 0.0000 0.3428 1
```

The structure with the least stability is a.